--- P ---
LiUCu | PBE-GGA | optimized geometry

abc: 4.3419 4.3419 4.3419
angles: 60.00 60.00 60.00
Fractional coordinates of all 3 atoms:
Li 0.0000 0.0000 0.0000
U 0.2500 0.2500 0.2500
Cu 0.7500 0.7500 0.7500

Space-group type   F-43m
Crystal system   cubic



--- Q ---
LiUCu | PBE-GGA | optimized geometry

abc: 4.5634 4.5634 4.5634
angles: 60.00 60.00 60.00
Fractional coordinates of all 3 atoms:
Li 0.0000 0.0000 0.0000
U 0.2500 0.2500 0.2500
Cu 0.5000 0.5000 0.5000

Space-group type   F-43m
Crystal system   cubic



Out of the structures above, which one is the least stable? Solution: Q.